1.
Material: CrTcAu2
Method: DFT, PBE
State: optimized geometry

Cell: 9.563 2.898 4.767 Å, 90.00 100.57 90.00°
Fractional coordinates of all 8 atoms:
Cr 0.000 0.000 0.000
Cr 0.500 0.500 0.000
Tc 0.000 0.500 0.500
Tc 0.500 0.000 0.500
Au 0.248 0.000 0.749
Au 0.252 0.500 0.251
Au 0.748 0.500 0.749
Au 0.752 0.000 0.251

Excess energy over the best structure of this formula in the dataset ... 0.187 eV/atom
Fermi-level density of states ... 3.24 states/eV/f.u.
ρ ... 13.91 g/cm³
Calculated formation energy ... 0.378 eV/atom
DFT total energy ... -50.1 eV/cell
Space-group type ... No. 12

=====

2.
Material: CrTcAu2
Method: DFT, PBE
State: optimized geometry

Cell: 2.900 2.932 7.534 Å, 90.00 90.14 90.00°
Fractional coordinates of all 4 atoms:
Cr 0.000 0.000 0.000
Tc 0.504 0.500 0.823
Au 0.001 0.000 0.542
Au 0.503 0.500 0.258

Excess energy over the best structure of this formula in the dataset ... 0.000 eV/atom
Fermi-level density of states ... 2.77 states/eV/f.u.
ρ ... 14.10 g/cm³
Calculated formation energy ... 0.191 eV/atom
DFT total energy ... -25.8 eV/cell
Space-group type ... No. 6

=====

3.
Material: Cr2TcAu
Method: DFT, PBE
State: optimized geometry

Cell: 3.819 3.819 7.770 Å, 90.00 90.00 90.00°
Fractional coordinates of all 8 atoms:
Cr 0.000 0.000 0.000
Cr 0.000 0.500 0.250
Cr 0.500 0.000 0.750
Cr 0.500 0.500 0.500
Tc 0.000 0.500 0.750
Tc 0.500 0.000 0.250
Au 0.000 0.000 0.500
Au 0.500 0.500 0.000

Fermi-level density of states ... 5.05 states/eV/f.u.
ρ ... 11.69 g/cm³
Calculated formation energy ... 0.314 eV/atom
DFT total energy ... -63.3 eV/cell
Space-group type ... No. 119

=====

4.
Material: Cr2TcAu
Method: DFT, PBE
State: optimized geometry

Cell: 3.103 4.300 8.523 Å, 90.00 90.00 90.00°
Fractional coordinates of all 8 atoms:
Cr 0.000 0.000 0.233
Cr 0.000 0.000 0.767
Cr 0.500 0.500 0.233
Cr 0.500 0.500 0.767
Tc 0.000 0.500 0.000
Tc 0.500 0.000 0.000
Au 0.000 0.500 0.500
Au 0.500 0.000 0.500

Fermi-level density of states ... 4.78 states/eV/f.u.
ρ ... 11.65 g/cm³
Calculated formation energy ... 0.338 eV/atom
DFT total energy ... -63.1 eV/cell
Space-group type ... No. 65

=====

5.
Material: Cr2TcAu
Method: DFT, PBE
State: optimized geometry

Cell: 2.781 2.781 25.794 Å, 90.00 90.00 120.00°
Fractional coordinates of all 12 atoms:
Cr 0.000 0.000 0.000
Cr 0.000 0.000 0.263
Cr 0.333 0.667 0.667
Cr 0.333 0.667 0.930
Cr 0.667 0.333 0.333
Cr 0.667 0.333 0.597
Tc 0.000 0.000 0.744
Tc 0.333 0.667 0.410
Tc 0.667 0.333 0.077
Au 0.000 0.000 0.507
Au 0.333 0.667 0.174
Au 0.667 0.333 0.840

Fermi-level density of states ... 3.92 states/eV/f.u.
ρ ... 11.50 g/cm³
Calculated formation energy ... 0.346 eV/atom
DFT total energy ... -94.5 eV/cell
Space-group type ... No. 160

=====

6.
Material: CrTc2Au
Method: DFT, PBE
State: optimized geometry

Cell: 3.872 3.872 7.762 Å, 90.00 90.00 90.00°
Fractional coordinates of all 8 atoms:
Cr 0.000 0.000 0.000
Cr 0.500 0.500 0.500
Tc 0.000 0.500 0.250
Tc 0.000 0.500 0.750
Tc 0.500 0.000 0.250
Tc 0.500 0.000 0.750
Au 0.000 0.000 0.500
Au 0.500 0.500 0.000

Excess energy over the best structure of this formula in the dataset ... 0.092 eV/atom
Fermi-level density of states ... 3.94 states/eV/f.u.
ρ ... 12.70 g/cm³
Calculated formation energy ... 0.307 eV/atom
DFT total energy ... -64.8 eV/cell
Space-group type ... No. 139

=====

7.
Material: Cr2TcAu
Method: DFT, PBE
State: optimized geometry

Cell: 2.806 3.678 5.573 Å, 90.00 90.00 90.00°
Fractional coordinates of all 4 atoms:
Cr 0.000 0.000 0.201
Cr 0.000 0.000 0.799
Tc 0.500 0.500 0.000
Au 0.500 0.500 0.500

Fermi-level density of states ... 4.63 states/eV/f.u.
ρ ... 11.52 g/cm³
Calculated formation energy ... 0.243 eV/atom
DFT total energy ... -31.9 eV/cell
Space-group type ... No. 47

=====

8.
Material: CrTc2Au
Method: DFT, PBE
State: optimized geometry

Cell: 2.730 2.730 7.879 Å, 90.00 90.00 90.00°
Fractional coordinates of all 4 atoms:
Cr 0.000 0.000 0.000
Tc 0.500 0.500 0.217
Tc 0.500 0.500 0.783
Au 0.000 0.000 0.500

Excess energy over the best structure of this formula in the dataset ... 0.009 eV/atom
Fermi-level density of states ... 3.99 states/eV/f.u.
ρ ... 12.58 g/cm³
Calculated formation energy ... 0.224 eV/atom
DFT total energy ... -32.7 eV/cell
Space-group type ... No. 123

=====

9.
Material: CrTc2Au
Method: DFT, PBE
State: optimized geometry

Cell: 6.189 6.189 6.189 Å, 90.00 90.00 90.00°
Fractional coordinates of all 16 atoms:
Cr 0.000 0.000 0.000
Cr 0.000 0.500 0.500
Cr 0.500 0.000 0.500
Cr 0.500 0.500 0.000
Tc 0.250 0.250 0.250
Tc 0.250 0.250 0.750
Tc 0.250 0.750 0.250
Tc 0.250 0.750 0.750
Tc 0.750 0.250 0.250
Tc 0.750 0.250 0.750
Tc 0.750 0.750 0.250
Tc 0.750 0.750 0.750
Au 0.000 0.000 0.500
Au 0.000 0.500 0.000
Au 0.500 0.000 0.000
Au 0.500 0.500 0.500

Excess energy over the best structure of this formula in the dataset ... 0.280 eV/atom
Fermi-level density of states ... 3.37 states/eV/f.u.
ρ ... 12.47 g/cm³
Calculated formation energy ... 0.495 eV/atom
DFT total energy ... -126.6 eV/cell
Space-group type ... No. 225

=====

10.
Material: CrTcAu2
Method: DFT, PBE
State: optimized geometry

Cell: 3.882 3.882 8.563 Å, 90.00 90.00 90.00°
Fractional coordinates of all 8 atoms:
Cr 0.000 0.000 0.000
Cr 0.500 0.500 0.500
Tc 0.000 0.000 0.500
Tc 0.500 0.500 0.000
Au 0.000 0.500 0.250
Au 0.000 0.500 0.750
Au 0.500 0.000 0.250
Au 0.500 0.000 0.750

Excess energy over the best structure of this formula in the dataset ... 0.112 eV/atom
Fermi-level density of states ... 2.02 states/eV/f.u.
ρ ... 14.00 g/cm³
Calculated formation energy ... 0.303 eV/atom
DFT total energy ... -50.7 eV/cell
Space-group type ... No. 139

=====

11.
Material: CrTcAu2
Method: DFT, PBE
State: optimized geometry

Cell: 2.707 2.707 8.450 Å, 90.00 90.00 90.00°
Fractional coordinates of all 4 atoms:
Cr 0.000 0.000 0.000
Tc 0.000 0.000 0.500
Au 0.500 0.500 0.239
Au 0.500 0.500 0.761

Excess energy over the best structure of this formula in the dataset ... 0.266 eV/atom
Fermi-level density of states ... 4.60 states/eV/f.u.
ρ ... 14.59 g/cm³
Calculated formation energy ... 0.457 eV/atom
DFT total energy ... -24.7 eV/cell
Space-group type ... No. 123

=====

12.
Material: CrTc2Au
Method: DFT, PBE
State: optimized geometry

Cell: 9.102 2.811 4.771 Å, 90.00 101.51 90.00°
Fractional coordinates of all 8 atoms:
Cr 0.000 0.000 0.000
Cr 0.500 0.500 0.000
Tc 0.236 0.500 0.220
Tc 0.486 0.000 0.432
Tc 0.736 0.000 0.220
Tc 0.986 0.500 0.432
Au 0.244 0.000 0.726
Au 0.744 0.500 0.726

Excess energy over the best structure of this formula in the dataset ... 0.075 eV/atom
Fermi-level density of states ... 4.37 states/eV/f.u.
ρ ... 12.35 g/cm³
Calculated formation energy ... 0.289 eV/atom
DFT total energy ... -64.9 eV/cell
Space-group type ... No. 8

=====

13.
Material: Cr2TcAu
Method: DFT, PBE
State: optimized geometry

Cell: 6.174 6.174 6.174 Å, 90.00 90.00 90.00°
Fractional coordinates of all 16 atoms:
Cr 0.000 0.000 0.000
Cr 0.000 0.500 0.500
Cr 0.250 0.250 0.250
Cr 0.250 0.750 0.750
Cr 0.500 0.000 0.500
Cr 0.500 0.500 0.000
Cr 0.750 0.250 0.750
Cr 0.750 0.750 0.250
Tc 0.250 0.250 0.750
Tc 0.250 0.750 0.250
Tc 0.750 0.250 0.250
Tc 0.750 0.750 0.750
Au 0.000 0.000 0.500
Au 0.000 0.500 0.000
Au 0.500 0.000 0.000
Au 0.500 0.500 0.500

Fermi-level density of states ... 4.04 states/eV/f.u.
ρ ... 11.26 g/cm³
Calculated formation energy ... 0.451 eV/atom
DFT total energy ... -124.3 eV/cell
Space-group type ... No. 216

=====

14.
Material: Cr2TcAu
Method: DFT, PBE
State: optimized geometry

Cell: 6.790 6.790 5.348 Å, 90.00 90.00 90.00°
Fractional coordinates of all 16 atoms:
Cr 0.216 0.250 0.125
Cr 0.250 0.716 0.375
Cr 0.250 0.784 0.875
Cr 0.284 0.250 0.625
Cr 0.716 0.750 0.625
Cr 0.750 0.216 0.875
Cr 0.750 0.284 0.375
Cr 0.784 0.750 0.125
Tc 0.000 0.000 0.000
Tc 0.000 0.500 0.250
Tc 0.500 0.000 0.750
Tc 0.500 0.500 0.500
Au 0.000 0.000 0.500
Au 0.000 0.500 0.750
Au 0.500 0.000 0.250
Au 0.500 0.500 0.000

Fermi-level density of states ... 5.48 states/eV/f.u.
ρ ... 10.75 g/cm³
Calculated formation energy ... 0.781 eV/atom
DFT total energy ... -119.1 eV/cell
Space-group type ... No. 122

=====

15.
Material: CrTcAu2
Method: DFT, PBE
State: optimized geometry

Cell: 9.684 3.022 4.724 Å, 90.00 111.16 90.00°
Fractional coordinates of all 8 atoms:
Cr 0.000 0.000 0.000
Cr 0.500 0.500 0.000
Tc 0.178 0.500 0.206
Tc 0.678 0.000 0.206
Au 0.239 0.000 0.756
Au 0.455 0.000 0.469
Au 0.739 0.500 0.756
Au 0.955 0.500 0.469

Excess energy over the best structure of this formula in the dataset ... 0.090 eV/atom
Fermi-level density of states ... 2.10 states/eV/f.u.
ρ ... 14.01 g/cm³
Calculated formation energy ... 0.281 eV/atom
DFT total energy ... -50.8 eV/cell
Space-group type ... No. 8